Material: Sr3CaTh2As6
Method: DFT, PBE
State: optimized geometry

Structure (extended XYZ):
```
12
Lattice="4.374 0.000 0.000 0.000 8.789 0.264 -2.187 -2.588 9.230" Properties=species:S:1:pos:R:3 pbc="T T T"
Sr 2.187 -0.272 6.241
Ca 2.187 0.000 0.000
As 0.000 2.130 0.194
Sr 0.000 6.473 3.254
Th 2.187 4.181 6.351
Sr 2.187 4.394 0.132
As 2.187 0.009 3.078
Th 0.000 2.019 3.143
As 0.000 6.191 6.416
As 0.000 2.101 6.164
As 2.187 4.100 3.330
As 2.187 4.071 9.300
```

**V**: 358 Å³/cell
**Electronic total energy**: -63.83 eV/f.u.
**Energy of formation**: -1170 meV/atom
**Magnetic moment**: 0.000 μB/f.u.